DFT (PBE) results for an optimized crystal structure of NaNpCdCl6.

Computed properties:
energy relative to the elements, uncorrected: -145.5 kJ per mole of atoms
total DFT energy (no corrections): -4.425 eV per atom

a = 6.9444 Å, b = 6.9444 Å, c = 12.5261 Å
α = 90.00°, β = 90.00°, γ = 120.00°
Last column: nearest neighbours and their distance in Å.
Element x y z (fractional)
Na (0.0000, 0.0000, 0.0000)  6 Cl 2.93
Na (0.0000, 0.0000, 0.5000)  6 Cl 2.93
Np (0.3333, 0.6667, 0.2500)  6 Cl 2.75
Np (0.6667, 0.3333, 0.7500)  6 Cl 2.75
Cd (0.3333, 0.6667, 0.7500)  6 Cl 2.67
Cd (0.6667, 0.3333, 0.2500)  6 Cl 2.67
Cl (0.0081, 0.3539, 0.6305)  1 Cd 2.67, 1 Np 2.75, 1 Na 2.93
Cl (0.0081, 0.6542, 0.8695)  1 Cd 2.67, 1 Np 2.75, 1 Na 2.93
Cl (0.3458, 0.3539, 0.8695)  1 Cd 2.67, 1 Np 2.75, 1 Na 2.93
Cl (0.3458, 0.9919, 0.6305)  1 Cd 2.67, 1 Np 2.75, 1 Na 2.93
Cl (0.3539, 0.0081, 0.1305)  1 Cd 2.67, 1 Np 2.75, 1 Na 2.93
Cl (0.3539, 0.3458, 0.3695)  1 Cd 2.67, 1 Np 2.75, 1 Na 2.93
Cl (0.6461, 0.6542, 0.6305)  1 Cd 2.67, 1 Np 2.75, 1 Na 2.93
Cl (0.6461, 0.9919, 0.8695)  1 Cd 2.67, 1 Np 2.75, 1 Na 2.93
Cl (0.6542, 0.0081, 0.3695)  1 Cd 2.67, 1 Np 2.75, 1 Na 2.93
Cl (0.6542, 0.6461, 0.1305)  1 Cd 2.67, 1 Np 2.75, 1 Na 2.93
Cl (0.9919, 0.3458, 0.1305)  1 Cd 2.67, 1 Np 2.75, 1 Na 2.93
Cl (0.9919, 0.6461, 0.3695)  1 Cd 2.67, 1 Np 2.75, 1 Na 2.93


DFT (PBE) results for an optimized crystal structure of Pr6Ho3Er2.

Computed properties:
E_form: 0.303 eV per atom
excess energy over the best structure of this formula in the dataset: 0.223 eV/atom
total DFT energy (no corrections): -4.382 eV per atom

a = 17.4436 Å, b = 17.4436 Å, c = 17.4436 Å
α = 164.31°, β = 164.31°, γ = 22.27°
Last column: nearest neighbours and their distance in Å.
Element x y z (fractional)
Pr (0.1191, 0.6191, 0.5000)  4 Pr 3.37, 2 Ho 3.47, 2 Er 3.49
Pr (0.2071, 0.2071, 0.0000)  5 Ho 3.40-3.43
Pr (0.3809, 0.8809, 0.5000)  4 Pr 3.37, 2 Ho 3.47, 2 Er 3.49
Pr (0.6191, 0.1191, 0.5000)  4 Pr 3.37, 2 Ho 3.47, 2 Er 3.49
Pr (0.7929, 0.7929, 0.0000)  5 Ho 3.40-3.43
Pr (0.8809, 0.3809, 0.5000)  4 Pr 3.37, 2 Ho 3.47, 2 Er 3.49
Ho (0.3073, 0.3073, 0.0000)  9 Pr 3.40-3.47
Ho (0.5000, 0.5000, 0.0000)  8 Er 3.70
Ho (0.6927, 0.6927, 0.0000)  9 Pr 3.40-3.47
Er (0.0446, 0.0446, 0.0000)  1 Er 3.05
Er (0.9554, 0.9554, 0.0000)  1 Er 3.05


DFT (PBE) results for an optimized crystal structure of NaZnSn2O.

Computed properties:
energy relative to the elements, uncorrected: 39.2 kJ per mole of atoms
total DFT energy (no corrections): -2.705 eV per atom

a = 5.5325 Å, b = 5.5325 Å, c = 3.9362 Å
α = 90.00°, β = 90.00°, γ = 90.00°
Last column: nearest neighbours and their distance in Å.
Element x y z (fractional)
Na (0.0000, 0.0000, 0.0000)  2 O 1.97
Zn (0.5000, 0.5000, 0.5000)  8 Sn 3.39
Sn (0.0000, 0.5000, 0.0000)  2 Na 2.77
Sn (0.5000, 0.0000, 0.0000)  2 Na 2.77
O (0.0000, 0.0000, 0.5000)  2 Na 1.97


DFT (PBE) results for an optimized crystal structure of BaLa2Mo.

Computed properties:
E_form: 0.646 eV per atom
excess energy over the best structure of this formula in the dataset: 0.292 eV/atom
total DFT energy (no corrections): -5.006 eV per atom

a = 5.5214 Å, b = 5.5214 Å, c = 5.5214 Å
α = 60.00°, β = 60.00°, γ = 60.00°
Last column: nearest neighbours and their distance in Å.
Element x y z (fractional)
Ba (0.0000, 0.0000, 0.0000)  8 La 3.38
La (0.2500, 0.2500, 0.2500)  4 Ba 3.38, 4 Mo 3.38
La (0.7500, 0.7500, 0.7500)  4 Ba 3.38, 4 Mo 3.38
Mo (0.5000, 0.5000, 0.5000)  8 La 3.38